## FePO4 (PBE+U)

Data for a relaxed FePO4 crystal.

Values from the calculation:
spin magnetization = 10.0 Bohr magnetons per cell
space group = No. 112
volume = 164.7 Å³/cell
total energy = -6.9995 eV/atom

Cell lengths 4.525, 4.525, 8.045 Å; angles 90.00, 90.00, 90.00 degrees
Fractional coordinates of all 12 atoms:
Fe 0.000 0.000 0.000
Fe 0.000 0.000 0.500
P 0.000 0.500 0.250
P 0.500 0.000 0.750
O 0.187 0.294 0.364
O 0.187 0.706 0.136
O 0.294 0.187 0.864
O 0.294 0.813 0.636
O 0.706 0.187 0.636
O 0.706 0.813 0.864
O 0.813 0.294 0.136
O 0.813 0.706 0.364